Crystalline NdHoBi at its relaxed geometry, computed with PBE.

Cell: 5.2406 5.2406 5.2406 Å, 60.00 60.00 60.00°
Atoms (fractional coordinates):
Bi 0.0000 0.0000 0.0000
Nd 0.7500 0.7500 0.7500
Ho 0.2500 0.2500 0.2500

## Properties
E_tot, eV per atom: -4.811
Space group: F-43m (216)